a:
! SrNd2Cu2O6, relaxed, DFT PBE; values from VASP
! - Crystal system: tetragonal
! - M_tot: 0.0 μB/f.u.
! - Space group: I4/mmm, No. 139
&SYSTEM
  ibrav = 0, nat = 11, ntyp = 4
/
ATOMIC_SPECIES
Nd 144.24 Nd.upf
Cu 63.55 Cu.upf
Sr 87.62 Sr.upf
O 16.00 O.upf
ATOMIC_POSITIONS crystal
Nd 0.1773 0.1773 0.0000
Cu 0.4100 0.4100 0.0000
Sr 0.0000 0.0000 0.0000
Cu 0.5900 0.5900 0.0000
O 0.5909 0.0909 0.5000
O 0.7068 0.7068 0.0000
O 0.2932 0.2932 0.0000
Nd 0.8227 0.8227 0.0000
O 0.4091 0.9091 0.5000
O 0.9091 0.4091 0.5000
O 0.0909 0.5909 0.5000
CELL_PARAMETERS angstrom
-6.0724 -1.5950 8.0877
-7.5815 -5.2953 4.3943
8.6413 1.6907 -5.2247



b:
! SrNd2Cu2O6, relaxed, DFT PBE; values from VASP
! - Crystal system: tetragonal
! - M_tot: 0.0 μB/f.u.
! - Space group: I4mm, No. 107
&SYSTEM
  ibrav = 0, nat = 11, ntyp = 4
/
ATOMIC_SPECIES
Cu 63.55 Cu.upf
Nd 144.24 Nd.upf
O 16.00 O.upf
Sr 87.62 Sr.upf
ATOMIC_POSITIONS crystal
Cu 0.4098 0.4098 0.0000
Nd 0.1799 0.1799 0.0000
O 0.5828 0.0828 0.5000
O 0.9242 0.4242 0.5000
O 0.0828 0.5828 0.5000
Sr 0.8188 0.8188 0.0000
O 0.6975 0.6975 0.0000
Nd 0.9994 0.9994 0.0000
O 0.4242 0.9242 0.5000
Cu 0.5883 0.5883 0.0000
O 0.2923 0.2923 0.0000
CELL_PARAMETERS angstrom
10.2801 0.0127 0.0000
8.8277 5.2680 0.0000
-9.5539 -2.6404 2.7262



Q: Which of them is the least stable? A: b.



a:
! Nd2PaCu, relaxed, DFT PBE; values from VASP
! - Crystal system: tetragonal
! - M_tot: 0.0 μB/f.u.
! - Space group: P4/mmm, No. 123
&SYSTEM
  ibrav = 0, nat = 4, ntyp = 3
/
ATOMIC_SPECIES
Nd 144.24 Nd.upf
Cu 63.55 Cu.upf
Pa 231.04 Pa.upf
ATOMIC_POSITIONS crystal
Nd 0.0000 0.0000 0.2188
Cu 0.5000 0.5000 0.0000
Nd 0.0000 0.0000 0.7812
Pa 0.5000 0.5000 0.5000
CELL_PARAMETERS angstrom
-3.4838 0.1378 0.2548
-0.1210 -3.4862 0.2303
0.6419 0.5381 8.4847



b:
! Nd2PaCu, relaxed, DFT PBE; values from VASP
! - Crystal system: trigonal
! - M_tot: 0.0 μB/f.u.
! - Space group: R-3m, No. 166
&SYSTEM
  ibrav = 0, nat = 4, ntyp = 3
/
ATOMIC_SPECIES
Nd 144.24 Nd.upf
Pa 231.04 Pa.upf
Cu 63.55 Cu.upf
ATOMIC_POSITIONS crystal
Nd 0.9019 0.9019 0.2942
Pa 0.0000 0.0000 0.0000
Nd 0.0981 0.0981 0.7058
Cu 0.5000 0.5000 0.5000
CELL_PARAMETERS angstrom
-2.1688 -1.1926 2.1969
0.1967 -3.1571 0.9731
6.1548 1.5490 9.4094



Q: Which of them is the least stable? A: b.



a:
! Nd8CuPd2, relaxed, DFT PBE; values from VASP
! - Crystal system: monoclinic
! - M_tot: 0.0 μB/f.u.
! - Space group: C2/m, No. 12
&SYSTEM
  ibrav = 0, nat = 11, ntyp = 3
/
ATOMIC_SPECIES
Nd 144.24 Nd.upf
Pd 106.42 Pd.upf
Cu 63.55 Cu.upf
ATOMIC_POSITIONS crystal
Nd 0.2011 0.3397 0.4023
Nd 0.0273 0.7891 0.0545
Nd 0.7989 0.6603 0.5977
Nd 0.6724 0.0038 0.3448
Nd 0.3276 0.9962 0.6552
Pd 0.1717 0.7357 0.3434
Nd 0.5918 0.4665 0.1836
Nd 0.4082 0.5335 0.8164
Pd 0.8283 0.2643 0.6566
Nd 0.9727 0.2109 0.9455
Cu 0.5000 0.0000 0.0000
CELL_PARAMETERS angstrom
5.2552 0.0000 0.0000
0.0000 6.8829 0.0053
-2.6276 -2.9634 8.7811



b:
! Nd8CuPd2, relaxed, DFT PBE; values from VASP
! - Crystal system: monoclinic
! - M_tot: 0.0 μB/f.u.
! - Space group: Cm, No. 8
&SYSTEM
  ibrav = 0, nat = 11, ntyp = 3
/
ATOMIC_SPECIES
Pd 106.42 Pd.upf
Nd 144.24 Nd.upf
Cu 63.55 Cu.upf
ATOMIC_POSITIONS crystal
Pd 0.4879 0.6968 0.3138
Nd 0.3572 0.9139 0.6553
Nd 0.5933 0.0904 0.3494
Nd 0.5933 0.3494 0.0904
Pd 0.4879 0.3138 0.6968
Nd 0.3572 0.6553 0.9139
Nd 0.8013 0.6426 0.6426
Nd 0.9827 0.2070 0.7886
Cu 0.1861 0.0101 0.0101
Nd 0.1702 0.3660 0.3660
Nd 0.9827 0.7886 0.2070
CELL_PARAMETERS angstrom
6.1442 0.0345 -1.0503
-2.0479 7.0057 -3.0846
-0.1262 -0.2526 7.9189



Q: Which of them is the least stable? A: b.



a:
! NdCu4Pd, relaxed, DFT PBE; values from VASP
! - Crystal system: trigonal
! - M_tot: 0.0 μB/f.u.
! - Space group: R3m, No. 160
&SYSTEM
  ibrav = 0, nat = 6, ntyp = 3
/
ATOMIC_SPECIES
Nd 144.24 Nd.upf
Pd 106.42 Pd.upf
Cu 63.55 Cu.upf
ATOMIC_POSITIONS crystal
Nd 0.9997 0.9997 0.9997
Pd 0.6278 0.6278 0.6278
Cu 0.6301 0.6301 0.1321
Cu 0.2303 0.2303 0.2303
Cu 0.6301 0.1321 0.6301
Cu 0.1321 0.6301 0.6301
CELL_PARAMETERS angstrom
-0.4948 4.8187 2.0406
-3.8200 3.3196 -1.4201
-3.9426 1.3489 3.2040



b:
! NdCu4Pd, relaxed, DFT PBE; values from VASP
! - Crystal system: cubic
! - M_tot: 0.0 μB/f.u.
! - Space group: F-43m, No. 216
&SYSTEM
  ibrav = 0, nat = 6, ntyp = 3
/
ATOMIC_SPECIES
Nd 144.24 Nd.upf
Pd 106.42 Pd.upf
Cu 63.55 Cu.upf
ATOMIC_POSITIONS crystal
Nd 0.2500 0.2500 0.2500
Pd 0.0000 0.0000 0.0000
Cu 0.6264 0.1208 0.6264
Cu 0.6264 0.6264 0.1208
Cu 0.1208 0.6264 0.6264
Cu 0.6264 0.6264 0.6264
CELL_PARAMETERS angstrom
5.0760 0.0000 0.0000
2.5380 4.3959 0.0000
2.5380 1.4653 4.1445



Q: Which of them is the least stable? A: a.



a:
! PmNdCuPd, relaxed, DFT PBE; values from VASP
! - Crystal system: cubic
! - M_tot: 0.0 μB/f.u.
! - Space group: F-43m, No. 216
&SYSTEM
  ibrav = 0, nat = 4, ntyp = 4
/
ATOMIC_SPECIES
Cu 63.55 Cu.upf
Nd 144.24 Nd.upf
Pm 145.00 Pm.upf
Pd 106.42 Pd.upf
ATOMIC_POSITIONS crystal
Cu 0.2500 0.2500 0.2500
Nd 0.5000 0.5000 0.5000
Pm 0.0000 0.0000 0.0000
Pd 0.7500 0.7500 0.7500
CELL_PARAMETERS angstrom
5.0959 0.0000 0.0000
2.5480 4.4132 0.0000
2.5480 1.4711 4.1608



b:
! PmNdCuPd, relaxed, DFT PBE; values from VASP
! - Crystal system: orthorhombic
! - M_tot: 0.0 μB/f.u.
! - Space group: Amm2, No. 38
&SYSTEM
  ibrav = 0, nat = 4, ntyp = 4
/
ATOMIC_SPECIES
Pm 145.00 Pm.upf
Nd 144.24 Nd.upf
Pd 106.42 Pd.upf
Cu 63.55 Cu.upf
ATOMIC_POSITIONS crystal
Pm 0.8620 0.5000 0.7240
Nd 0.1389 0.0000 0.2778
Pd 0.5749 0.5000 0.1499
Cu 0.4242 0.0000 0.8484
CELL_PARAMETERS angstrom
3.8846 0.0000 0.0000
0.0000 4.6168 0.0000
-1.9423 0.0000 5.3916



Q: Which of them is the least stable? A: a.



a:
! NdSmCuPd, relaxed, DFT PBE; values from VASP
! - Crystal system: orthorhombic
! - M_tot: 0.0 μB/f.u.
! - Space group: Amm2, No. 38
&SYSTEM
  ibrav = 0, nat = 4, ntyp = 4
/
ATOMIC_SPECIES
Nd 144.24 Nd.upf
Sm 150.36 Sm.upf
Cu 63.55 Cu.upf
Pd 106.42 Pd.upf
ATOMIC_POSITIONS crystal
Nd 0.8609 0.5000 0.7218
Sm 0.1378 0.0000 0.2755
Cu 0.4246 0.0000 0.8492
Pd 0.5767 0.5000 0.1535
CELL_PARAMETERS angstrom
-1.2293 -1.2819 3.4346
-3.6318 -1.9547 -2.0294
3.4439 -3.9055 -2.4015



b:
! NdSmCuPd, relaxed, DFT PBE; values from VASP
! - Crystal system: cubic
! - M_tot: 0.0 μB/f.u.
! - Space group: F-43m, No. 216
&SYSTEM
  ibrav = 0, nat = 4, ntyp = 4
/
ATOMIC_SPECIES
Pd 106.42 Pd.upf
Nd 144.24 Nd.upf
Cu 63.55 Cu.upf
Sm 150.36 Sm.upf
ATOMIC_POSITIONS crystal
Pd 0.7500 0.7500 0.7500
Nd 0.0000 0.0000 0.0000
Cu 0.2500 0.2500 0.2500
Sm 0.5000 0.5000 0.5000
CELL_PARAMETERS angstrom
5.0826 0.0000 0.0000
2.5413 4.4017 0.0000
2.5413 1.4672 4.1500



Q: Which of them is the least stable? A: b.



a:
! TbNdCuPd, relaxed, DFT PBE; values from VASP
! - Crystal system: cubic
! - M_tot: 0.0 μB/f.u.
! - Space group: F-43m, No. 216
&SYSTEM
  ibrav = 0, nat = 4, ntyp = 4
/
ATOMIC_SPECIES
Cu 63.55 Cu.upf
Pd 106.42 Pd.upf
Nd 144.24 Nd.upf
Tb 158.93 Tb.upf
ATOMIC_POSITIONS crystal
Cu 0.2500 0.2500 0.2500
Pd 0.7500 0.7500 0.7500
Nd 0.5000 0.5000 0.5000
Tb 0.0000 0.0000 0.0000
CELL_PARAMETERS angstrom
5.0410 0.0000 0.0000
2.5205 4.3657 0.0000
2.5205 1.4552 4.1160



b:
! TbNdCuPd, relaxed, DFT PBE; values from VASP
! - Crystal system: orthorhombic
! - M_tot: 0.0 μB/f.u.
! - Space group: Amm2, No. 38
&SYSTEM
  ibrav = 0, nat = 4, ntyp = 4
/
ATOMIC_SPECIES
Cu 63.55 Cu.upf
Nd 144.24 Nd.upf
Tb 158.93 Tb.upf
Pd 106.42 Pd.upf
ATOMIC_POSITIONS crystal
Cu 0.4247 0.0000 0.8493
Nd 0.8599 0.5000 0.7199
Tb 0.1368 0.0000 0.2736
Pd 0.5786 0.5000 0.1573
CELL_PARAMETERS angstrom
3.8187 0.0000 0.0000
0.0000 4.5636 0.0000
-1.9093 0.0000 5.3732



Q: Which of them is the least stable? A: a.



a:
! NdTmCuPd, relaxed, DFT PBE; values from VASP
! - Crystal system: orthorhombic
! - M_tot: 0.0 μB/f.u.
! - Space group: Amm2, No. 38
&SYSTEM
  ibrav = 0, nat = 4, ntyp = 4
/
ATOMIC_SPECIES
Pd 106.42 Pd.upf
Tm 168.93 Tm.upf
Cu 63.55 Cu.upf
Nd 144.24 Nd.upf
ATOMIC_POSITIONS crystal
Pd 0.5737 0.5000 0.1474
Tm 0.8636 0.5000 0.7271
Cu 0.4215 0.0000 0.8430
Nd 0.1413 0.0000 0.2826
CELL_PARAMETERS angstrom
-0.1404 2.8978 -2.4503
-0.2129 -2.9720 -3.5026
-5.1554 -1.4400 1.5352



b:
! NdTmCuPd, relaxed, DFT PBE; values from VASP
! - Crystal system: cubic
! - M_tot: 0.0 μB/f.u.
! - Space group: F-43m, No. 216
&SYSTEM
  ibrav = 0, nat = 4, ntyp = 4
/
ATOMIC_SPECIES
Pd 106.42 Pd.upf
Tm 168.93 Tm.upf
Cu 63.55 Cu.upf
Nd 144.24 Nd.upf
ATOMIC_POSITIONS crystal
Pd 0.2500 0.2500 0.2500
Tm 0.0000 0.0000 0.0000
Cu 0.7500 0.7500 0.7500
Nd 0.5000 0.5000 0.5000
CELL_PARAMETERS angstrom
-3.7207 2.5781 2.1171
-4.6993 -0.6485 -1.5712
-3.3119 -2.3368 2.9229



Q: Which of them is the least stable? A: b.



a:
! NdYCuPd, relaxed, DFT PBE; values from VASP
! - Crystal system: orthorhombic
! - M_tot: 0.0 μB/f.u.
! - Space group: Amm2, No. 38
&SYSTEM
  ibrav = 0, nat = 4, ntyp = 4
/
ATOMIC_SPECIES
Nd 144.24 Nd.upf
Y 88.91 Y.upf
Pd 106.42 Pd.upf
Cu 63.55 Cu.upf
ATOMIC_POSITIONS crystal
Nd 0.8601 0.5000 0.7202
Y 0.1373 0.0000 0.2745
Pd 0.5782 0.5000 0.1564
Cu 0.4245 0.0000 0.8489
CELL_PARAMETERS angstrom
-1.8977 -3.2258 -0.7361
3.9599 -2.1783 -0.6629
1.1137 0.3269 5.5785



b:
! NdYCuPd, relaxed, DFT PBE; values from VASP
! - Crystal system: cubic
! - M_tot: 0.0 μB/f.u.
! - Space group: F-43m, No. 216
&SYSTEM
  ibrav = 0, nat = 4, ntyp = 4
/
ATOMIC_SPECIES
Nd 144.24 Nd.upf
Pd 106.42 Pd.upf
Cu 63.55 Cu.upf
Y 88.91 Y.upf
ATOMIC_POSITIONS crystal
Nd 0.2500 0.2500 0.2500
Pd 0.5000 0.5000 0.5000
Cu 0.0000 0.0000 0.0000
Y 0.7500 0.7500 0.7500
CELL_PARAMETERS angstrom
5.0391 0.0000 0.0000
2.5196 4.3640 0.0000
2.5196 1.4547 4.1144



Q: Which of them is the least stable? A: b.



a:
! Pm3NdCu2, relaxed, DFT PBE; values from VASP
! - Crystal system: tetragonal
! - M_tot: 0.0 μB/f.u.
! - Space group: P4/mmm, No. 123
&SYSTEM
  ibrav = 0, nat = 6, ntyp = 3
/
ATOMIC_SPECIES
Pm 145.00 Pm.upf
Cu 63.55 Cu.upf
Nd 144.24 Nd.upf
ATOMIC_POSITIONS crystal
Pm 0.0000 0.0000 0.0000
Pm 0.0000 0.0000 0.7185
Cu 0.5000 0.5000 0.8569
Cu 0.5000 0.5000 0.1431
Nd 0.5000 0.5000 0.5000
Pm 0.0000 0.0000 0.2815
CELL_PARAMETERS angstrom
-1.5672 1.4676 2.8798
-1.7573 -3.0730 0.6098
9.4192 -3.9682 7.1481



b:
! Pm3NdCu2, relaxed, DFT PBE; values from VASP
! - Crystal system: orthorhombic
! - M_tot: 0.0 μB/f.u.
! - Space group: Ibam, No. 72
&SYSTEM
  ibrav = 0, nat = 12, ntyp = 3
/
ATOMIC_SPECIES
Pm 145.00 Pm.upf
Cu 63.55 Cu.upf
Nd 144.24 Nd.upf
ATOMIC_POSITIONS crystal
Pm 0.7648 0.5148 0.5297
Cu 0.1548 0.8588 0.7175
Nd 0.0000 0.0000 0.0000
Pm 0.2352 0.9852 0.4703
Cu 0.8452 0.1412 0.2825
Pm 0.5000 0.7500 0.0000
Pm 0.2352 0.4852 0.4703
Cu 0.4373 0.6412 0.2825
Pm 0.5000 0.2500 0.0000
Cu 0.5627 0.3588 0.7175
Pm 0.7648 0.0148 0.5297
Nd 0.0000 0.5000 0.0000
CELL_PARAMETERS angstrom
6.9752 0.0000 0.0000
0.0000 7.3666 0.0000
-3.4876 -3.6833 6.8937



Q: Which of them is the least stable? A: b.



a:
! Pm2NdCu, relaxed, DFT PBE; values from VASP
! - Crystal system: trigonal
! - M_tot: 0.0 μB/f.u.
! - Space group: R3m, No. 160
&SYSTEM
  ibrav = 0, nat = 4, ntyp = 3
/
ATOMIC_SPECIES
Pm 145.00 Pm.upf
Nd 144.24 Nd.upf
Cu 63.55 Cu.upf
ATOMIC_POSITIONS crystal
Pm 0.2666 0.2666 0.2002
Nd 0.4999 0.4999 0.5002
Pm 0.0669 0.0669 0.7994
Cu 0.6666 0.6666 0.0002
CELL_PARAMETERS angstrom
3.7247 0.0000 0.0000
1.8623 3.2257 0.0000
1.8623 1.0752 10.0640



b:
! Pm2NdCu, relaxed, DFT PBE; values from VASP
! - Crystal system: trigonal
! - M_tot: 0.0 μB/f.u.
! - Space group: R-3m, No. 166
&SYSTEM
  ibrav = 0, nat = 4, ntyp = 3
/
ATOMIC_SPECIES
Pm 145.00 Pm.upf
Nd 144.24 Nd.upf
Cu 63.55 Cu.upf
ATOMIC_POSITIONS crystal
Pm 0.2658 0.2658 0.2027
Nd 0.5000 0.5000 0.5000
Pm 0.7342 0.7342 0.7973
Cu 0.0000 0.0000 0.0000
CELL_PARAMETERS angstrom
-2.5332 0.3959 2.6427
-3.5757 -0.3359 -0.8120
-1.5450 -9.9640 2.5767



Q: Which of them is the least stable? A: a.



a:
! PmNd2Cu, relaxed, DFT PBE; values from VASP
! - Crystal system: tetragonal
! - M_tot: 0.0 μB/f.u.
! - Space group: P4/mmm, No. 123
&SYSTEM
  ibrav = 0, nat = 4, ntyp = 3
/
ATOMIC_SPECIES
Pm 145.00 Pm.upf
Nd 144.24 Nd.upf
Cu 63.55 Cu.upf
ATOMIC_POSITIONS crystal
Pm 0.5000 0.5000 0.5000
Nd 0.0000 0.0000 0.1978
Cu 0.5000 0.5000 0.0000
Nd 0.0000 0.0000 0.8022
CELL_PARAMETERS angstrom
3.6365 0.0000 0.0000
0.0000 3.6365 0.0000
0.0000 0.0000 8.8009



b:
! PmNd2Cu, relaxed, DFT PBE; values from VASP
! - Crystal system: tetragonal
! - M_tot: 0.0 μB/f.u.
! - Space group: P4/mmm, No. 123
&SYSTEM
  ibrav = 0, nat = 4, ntyp = 3
/
ATOMIC_SPECIES
Cu 63.55 Cu.upf
Pm 145.00 Pm.upf
Nd 144.24 Nd.upf
ATOMIC_POSITIONS crystal
Cu 0.5000 0.0000 0.0000
Pm 0.5000 0.5000 0.5000
Nd 0.0000 0.5000 0.0000
Nd 0.0000 0.0000 0.5000
CELL_PARAMETERS angstrom
3.6806 0.0000 0.0000
0.0000 5.5479 0.0000
0.0000 0.0000 5.5479



c:
! PmNd2Cu, relaxed, DFT PBE; values from VASP
! - Crystal system: monoclinic
! - M_tot: 0.0 μB/f.u.
! - Space group: P2_1/m, No. 11
&SYSTEM
  ibrav = 0, nat = 8, ntyp = 3
/
ATOMIC_SPECIES
Nd 144.24 Nd.upf
Cu 63.55 Cu.upf
Pm 145.00 Pm.upf
ATOMIC_POSITIONS crystal
Nd 0.3542 0.7088 0.9704
Nd 0.3542 0.7088 0.5296
Cu 0.7991 0.5993 0.7500
Nd 0.6458 0.2912 0.0296
Pm 0.9529 0.9064 0.2500
Pm 0.0471 0.0936 0.7500
Nd 0.6458 0.2912 0.4704
Cu 0.2009 0.4007 0.2500
CELL_PARAMETERS angstrom
5.0175 0.0036 0.0000
-2.5048 5.9594 0.0000
0.0000 0.0000 7.7627



Q: Which of them is the least stable? A: b.